Entry from Alexandria via LeMat-Bulk: Rb2BaF5 after structural relaxation (PBE-GGA).

Cell and atoms, written as POSCAR:
```
Rb2BaF5
1.0
-4.0527 4.4025 -3.9234
-2.4575 -6.4680 -4.7193
-9.4212 -1.9360 7.5594
F Ba Rb
20 4 8
direct
0.7613 0.7500 0.1765 F
0.3690 0.5065 0.6040 F
0.2409 0.7500 0.8347 F
0.8690 0.4935 0.8960 F
0.1080 0.2500 0.4622 F
0.2591 0.7500 0.3347 F
0.2387 0.2500 0.8235 F
0.3690 0.9935 0.6040 F
0.7591 0.2500 0.1653 F
0.1310 0.9935 0.1040 F
0.6310 0.4935 0.3960 F
0.8690 0.0065 0.8960 F
0.6310 0.0065 0.3960 F
0.7409 0.2500 0.6653 F
0.8920 0.7500 0.5378 F
0.3920 0.2500 0.9622 F
0.1310 0.5065 0.1040 F
0.2613 0.2500 0.3235 F
0.7387 0.7500 0.6765 F
0.6080 0.7500 0.0378 F
0.0017 0.7500 0.9921 Ba
0.9983 0.2500 0.0079 Ba
0.5017 0.2500 0.5079 Ba
0.4983 0.7500 0.4921 Ba
0.4874 0.4946 0.1844 Rb
0.0126 0.4946 0.6844 Rb
0.5126 0.9946 0.8156 Rb
0.0126 0.0054 0.6844 Rb
0.9874 0.5054 0.3156 Rb
0.5126 0.5054 0.8156 Rb
0.9874 0.9946 0.3156 Rb
0.4874 0.0054 0.1844 Rb
```

Formation energy (no corrections)   -2783.3 meV per atom
Symmetry   Pnma